## SrMnGa2Pt (PBEsol)

Data for an optimized crystal structure of SrMnGa2Pt.

abc: 4.5802 4.5802 5.3537
angles: 90.00 90.00 90.00
Site moments in Bohr magnetons follow the coordinates.
Sites, in units of the cell vectors:
Mn: 0.0000 0.0000 0.0000  2.49
Pt: 0.5000 0.5000 0.5000  0.18
Ga: 0.0000 0.5000 0.0000  -0.04
Ga: 0.5000 0.0000 0.0000  -0.04
Sr: 0.0000 0.0000 0.5000  0.02

Results
Calculated formation energy, kcal/mol of atoms: 11.05


## RbTiMnGa2 (PBEsol)

Data for an optimized crystal structure of RbTiMnGa2.

abc: 5.0028 5.0028 5.3100
angles: 90.00 90.00 90.00
Site moments in Bohr magnetons follow the coordinates.
Sites, in units of the cell vectors:
Ga: 0.5000 0.0000 0.0000  0.01
Ga: 0.0000 0.5000 0.0000  0.01
Mn: 0.5000 0.5000 0.5000  4.40
Rb: 0.0000 0.0000 0.5000  0.04
Ti: 0.0000 0.0000 0.0000  0.64

Results
Calculated formation energy, kcal/mol of atoms: 27.53


## MnGa3Re (PBEsol)

Data for an optimized crystal structure of MnGa3Re.

abc: 4.7623 4.7623 4.7623
angles: 90.00 90.00 90.00
Site moments in Bohr magnetons follow the coordinates.
Sites, in units of the cell vectors:
Mn: 0.5000 0.5000 0.5000  4.42
Ga: 0.5000 0.0000 0.0000  0.01
Ga: 0.0000 0.5000 0.0000  0.01
Ga: 0.0000 0.0000 0.5000  0.01
Re: 0.0000 0.0000 0.0000  0.32

Results
Calculated formation energy, kcal/mol of atoms: 16.82


## Mn2GaRh (PBEsol)

Data for an optimized crystal structure of Mn2GaRh.

abc: 4.1335 4.1335 4.1335
angles: 60.00 60.00 60.00
Site moments in Bohr magnetons follow the coordinates.
Sites, in units of the cell vectors:
Ga: 0.2500 0.2500 0.2500  0.02
Mn: 0.7500 0.7500 0.7500  3.08
Mn: 0.0000 0.0000 0.0000  -1.54
Rh: 0.5000 0.5000 0.5000  0.30

Results
Calculated formation energy, kcal/mol of atoms: -5.52


## MnGaSb2Ru (PBEsol)

Data for an optimized crystal structure of MnGaSb2Ru.

abc: 4.4412 4.7725 4.7725
angles: 90.00 90.00 90.00
Site moments in Bohr magnetons follow the coordinates.
Sites, in units of the cell vectors:
Mn: 0.0000 0.0000 0.0000  0.71
Sb: 0.0000 0.0000 0.5000  -0.03
Sb: 0.0000 0.5000 0.0000  -0.03
Ga: 0.5000 0.0000 0.0000  0.01
Ru: 0.5000 0.5000 0.5000  1.08

Results
Energy relative to the elements, uncorrected, eV per atom: 0.90


## MnGa2S4 (PBEsol)

Data for an optimized crystal structure of MnGa2S4.

abc: 5.3429 5.3429 6.3636
angles: 114.82 114.82 90.00
Site moments in Bohr magnetons follow the coordinates.
Sites, in units of the cell vectors:
Mn: 0.5000 0.5000 0.0000  4.14
S: 0.3690 0.3822 0.2646  0.04
S: 0.8955 0.8823 0.2646  0.04
S: 0.1177 0.6310 0.7354  0.04
S: 0.6178 0.1045 0.7354  0.04
Ga: 0.7500 0.2500 0.5000  0.04
Ga: 0.0000 0.0000 0.0000  0.05

Results
Energy relative to the elements, uncorrected, eV per atom: -0.63


## Mn3GaS (PBEsol)

Data for an optimized crystal structure of Mn3GaS.

abc: 4.0448 4.0448 4.0448
angles: 90.00 90.00 90.00
Site moments in Bohr magnetons follow the coordinates.
Sites, in units of the cell vectors:
Mn: 0.0000 0.0000 0.5000  1.28
Mn: 0.5000 0.0000 0.0000  1.28
Mn: 0.0000 0.5000 0.0000  1.28
S: 0.0000 0.0000 0.0000  -0.07
Ga: 0.5000 0.5000 0.5000  -0.10

Results
Energy relative to the elements, uncorrected, eV per atom: 0.18


## MnGa2S4 (PBEsol)

Data for an optimized crystal structure of MnGa2S4.

abc: 3.6259 3.6259 12.2925
angles: 81.52 81.52 60.00
Site moments in Bohr magnetons follow the coordinates.
Sites, in units of the cell vectors:
Ga: 0.9990 0.9990 0.0031  -0.02
Ga: 0.7658 0.7658 0.7025  0.01
S: 0.7044 0.7044 0.8869  0.01
S: 0.2985 0.2985 0.1046  0.00
S: 0.1265 0.1265 0.6204  0.01
S: 0.8757 0.8757 0.3729  0.03
Mn: 0.2342 0.2342 0.2975  3.77

Results
Energy relative to the elements, uncorrected, eV per atom: -0.53


## MnGa2S4 (PBEsol)

Data for an optimized crystal structure of MnGa2S4.

abc: 3.6488 6.1025 6.6250
angles: 89.65 90.00 90.00
Site moments in Bohr magnetons follow the coordinates.
Sites, in units of the cell vectors:
S: 0.5000 0.0095 0.8238  0.01
S: 0.5000 0.4892 0.1567  0.06
S: 0.0000 0.4843 0.6813  0.04
S: 0.0000 0.0156 0.3441  0.04
Ga: 0.5000 0.0981 0.1440  0.04
Ga: 0.5000 0.6484 0.8314  0.04
Mn: 0.0000 0.6299 0.3526  4.17

Results
Energy relative to the elements, uncorrected, eV per atom: -0.58


## Mn2Ga2S5 (PBEsol)

Data for an optimized crystal structure of Mn2Ga2S5.

abc: 3.5902 3.5902 15.0749
angles: 90.00 90.00 120.00
Site moments in Bohr magnetons follow the coordinates.
Sites, in units of the cell vectors:
S: 0.6667 0.3333 0.6769  0.05
S: 0.0000 0.0000 0.5000  0.05
S: 0.3333 0.6667 0.8937  0.02
S: 0.6667 0.3333 0.1063  0.02
S: 0.3333 0.6667 0.3231  0.05
Mn: 0.6667 0.3333 0.4093  3.83
Mn: 0.3333 0.6667 0.5907  3.83
Ga: 0.3333 0.6667 0.1759  0.03
Ga: 0.6667 0.3333 0.8241  0.03

Results
Energy relative to the elements, uncorrected, eV per atom: -0.58


## ScMnGaS4 (PBEsol)

Data for an optimized crystal structure of ScMnGaS4.

abc: 6.0296 7.2851 12.6342
angles: 90.00 90.00 90.00
Site moments in Bohr magnetons follow the coordinates.
Sites, in units of the cell vectors:
S: 0.2093 0.7500 0.9117  0.05
S: 0.7093 0.2500 0.5883  0.05
S: 0.7539 0.5076 0.8322  0.03
S: 0.7478 0.7500 0.5729  0.04
S: 0.2461 0.0076 0.1678  0.03
S: 0.2478 0.2500 0.9271  0.04
S: 0.2522 0.2500 0.4271  0.04
S: 0.7461 0.9924 0.3322  0.03
S: 0.2907 0.7500 0.4117  0.05
S: 0.2461 0.4924 0.1678  0.03
S: 0.7539 0.9924 0.8322  0.03
S: 0.7461 0.5076 0.3322  0.03
S: 0.7907 0.2500 0.0883  0.05
S: 0.2539 0.0076 0.6678  0.03
S: 0.2539 0.4924 0.6678  0.03
S: 0.7522 0.7500 0.0729  0.04
Ga: 0.0783 0.2500 0.5877  0.03
Ga: 0.9217 0.7500 0.4123  0.03
Ga: 0.5783 0.7500 0.9123  0.03
Ga: 0.4217 0.2500 0.0877  0.03
Mn: 0.0000 0.5000 0.0000  4.22
Mn: 0.5000 0.5000 0.5000  4.22
Mn: 0.5000 0.0000 0.5000  4.22
Mn: 0.0000 0.0000 0.0000  4.22
Sc: 0.9975 0.7500 0.7339  0.12
Sc: 0.4975 0.2500 0.7661  0.12
Sc: 0.5025 0.7500 0.2339  0.12
Sc: 0.0025 0.2500 0.2661  0.12

Results
Energy relative to the elements, uncorrected, eV per atom: -1.06


## Sc3Mn2Ga6 (PBEsol)

Data for an optimized crystal structure of Sc3Mn2Ga6.

abc: 7.9418 8.4032 10.3898
angles: 90.00 90.00 90.00
Site moments in Bohr magnetons follow the coordinates.
Sites, in units of the cell vectors:
Ga: 0.7197 0.2500 0.7815  -0.01
Ga: 0.1161 0.5837 0.8449  -0.04
Ga: 0.5935 0.7500 0.9124  -0.04
Ga: 0.2803 0.7500 0.2185  -0.01
Ga: 0.7942 0.5051 0.9125  -0.03
Ga: 0.2942 0.9949 0.5875  -0.03
Ga: 0.2058 0.0051 0.0875  -0.03
Ga: 0.7803 0.7500 0.2815  -0.01
Ga: 0.3839 0.0837 0.3449  -0.04
Ga: 0.2197 0.2500 0.7185  -0.01
Ga: 0.6161 0.9163 0.6551  -0.04
Ga: 0.8839 0.4163 0.1551  -0.04
Ga: 0.1161 0.9163 0.8449  -0.04
Ga: 0.8839 0.0837 0.1551  -0.04
Ga: 0.2942 0.5051 0.5875  -0.03
Ga: 0.2058 0.4949 0.0875  -0.03
Ga: 0.3839 0.4163 0.3449  -0.04
Ga: 0.6161 0.5837 0.6551  -0.04
Ga: 0.7058 0.0051 0.4125  -0.03
Ga: 0.4065 0.2500 0.0876  -0.04
Ga: 0.0935 0.7500 0.5876  -0.04
Ga: 0.7942 0.9949 0.9125  -0.03
Ga: 0.7058 0.4949 0.4125  -0.03
Ga: 0.9065 0.2500 0.4124  -0.04
Mn: 0.8088 0.7500 0.5177  1.64
Mn: 0.1912 0.2500 0.4823  1.64
Mn: 0.6912 0.2500 0.0177  1.64
Mn: 0.1403 0.2500 0.2353  2.45
Mn: 0.6403 0.2500 0.2647  2.45
Mn: 0.3088 0.7500 0.9823  1.64
Mn: 0.3597 0.7500 0.7353  2.45
Mn: 0.8597 0.7500 0.7647  2.45
Sc: 0.4595 0.7500 0.4380  -0.05
Sc: 0.0643 0.9457 0.3616  -0.10
Sc: 0.4357 0.4457 0.8616  -0.10
Sc: 0.5643 0.5543 0.1384  -0.10
Sc: 0.9595 0.7500 0.0620  -0.05
Sc: 0.0643 0.5543 0.3616  -0.10
Sc: 0.5643 0.9457 0.1384  -0.10
Sc: 0.5405 0.2500 0.5620  -0.05
Sc: 0.9357 0.0543 0.6384  -0.10
Sc: 0.4357 0.0543 0.8616  -0.10
Sc: 0.9357 0.4457 0.6384  -0.10
Sc: 0.0405 0.2500 0.9380  -0.05

Results
Calculated formation energy, kcal/mol of atoms: -11.40


## MnGaTc2Se (PBEsol)

Data for an optimized crystal structure of MnGaTc2Se.

abc: 4.2594 4.4996 4.4996
angles: 90.00 90.00 90.00
Site moments in Bohr magnetons follow the coordinates.
Sites, in units of the cell vectors:
Mn: 0.5000 0.0000 0.0000  2.58
Tc: 0.0000 0.5000 0.0000  -0.04
Tc: 0.0000 0.0000 0.5000  -0.04
Se: 0.0000 0.0000 0.0000  -0.05
Ga: 0.5000 0.5000 0.5000  -0.04

Results
Energy relative to the elements, uncorrected, eV per atom: 0.93


## Mn2Ga2Si (PBEsol)

Data for an optimized crystal structure of Mn2Ga2Si.

abc: 3.3846 3.3846 6.6219
angles: 104.81 104.81 90.00
Site moments in Bohr magnetons follow the coordinates.
Sites, in units of the cell vectors:
Si: 0.0000 0.0000 0.0000  0.00
Ga: 0.3976 0.3976 0.7952  -0.04
Ga: 0.6024 0.6024 0.2048  -0.04
Mn: 0.7500 0.2500 0.5000  1.19
Mn: 0.2500 0.7500 0.5000  1.19

Results
Energy relative to the elements, uncorrected, eV per atom: 0.46


## Sm2MnGa6 (PBEsol)

Data for an optimized crystal structure of Sm2MnGa6.

abc: 6.1369 6.1369 6.1369
angles: 60.00 60.00 60.00
Site moments in Bohr magnetons follow the coordinates.
Sites, in units of the cell vectors:
Mn: 0.5000 0.5000 0.5000  2.40
Sm: 0.7500 0.7500 0.7500  -0.01
Sm: 0.2500 0.2500 0.2500  -0.01
Ga: 0.2193 0.7807 0.2193  -0.02
Ga: 0.7807 0.2193 0.7807  -0.02
Ga: 0.2193 0.7807 0.7807  -0.02
Ga: 0.2193 0.2193 0.7807  -0.02
Ga: 0.7807 0.7807 0.2193  -0.02
Ga: 0.7807 0.2193 0.2193  -0.02

Results
Calculated formation energy, kcal/mol of atoms: -13.33


## MnGa2Sn2 (PBEsol)

Data for an optimized crystal structure of MnGa2Sn2.

abc: 5.1066 5.1066 5.6527
angles: 90.00 90.00 90.00
Site moments in Bohr magnetons follow the coordinates.
Sites, in units of the cell vectors:
Sn: 0.0000 0.0000 0.0000  0.00
Sn: 0.0000 0.0000 0.5000  -0.06
Ga: 0.0000 0.5000 0.0000  -0.01
Ga: 0.5000 0.0000 0.0000  -0.01
Mn: 0.5000 0.5000 0.5000  4.40

Results
Calculated formation energy, kcal/mol of atoms: 23.88


## Tb2MnGa6 (PBEsol)

Data for an optimized crystal structure of Tb2MnGa6.

abc: 6.0843 6.0843 6.0843
angles: 60.00 60.00 60.00
Site moments in Bohr magnetons follow the coordinates.
Sites, in units of the cell vectors:
Tb: 0.7500 0.7500 0.7500  -0.01
Tb: 0.2500 0.2500 0.2500  -0.01
Ga: 0.2196 0.2196 0.7804  -0.02
Ga: 0.2196 0.7804 0.7804  -0.02
Ga: 0.7804 0.2196 0.2196  -0.02
Ga: 0.7804 0.2196 0.7804  -0.02
Ga: 0.7804 0.7804 0.2196  -0.02
Ga: 0.2196 0.7804 0.2196  -0.02
Mn: 0.5000 0.5000 0.5000  2.32

Results
Calculated formation energy, kcal/mol of atoms: -13.01


## MnGa2TcW (PBEsol)

Data for an optimized crystal structure of MnGa2TcW.

abc: 4.3403 4.5917 4.5917
angles: 90.00 90.00 90.00
Site moments in Bohr magnetons follow the coordinates.
Sites, in units of the cell vectors:
Ga: 0.0000 0.0000 0.5000  0.00
Ga: 0.0000 0.5000 0.0000  0.00
Tc: 0.0000 0.0000 0.0000  0.09
Mn: 0.5000 0.0000 0.0000  2.62
W: 0.5000 0.5000 0.5000  1.65

Results
Calculated formation energy, kcal/mol of atoms: 34.78


## Mn3TlGa (PBEsol)

Data for an optimized crystal structure of Mn3TlGa.

abc: 4.5568 4.5568 4.5568
angles: 90.00 90.00 90.00
Site moments in Bohr magnetons follow the coordinates.
Sites, in units of the cell vectors:
Mn: 0.0000 0.5000 0.0000  3.51
Mn: 0.0000 0.0000 0.5000  3.51
Mn: 0.5000 0.0000 0.0000  3.51
Tl: 0.5000 0.5000 0.5000  -0.09
Ga: 0.0000 0.0000 0.0000  -0.19

Results
Calculated formation energy, kcal/mol of atoms: 20.01


## Mn2Tl2Ga (PBEsol)

Data for an optimized crystal structure of Mn2Tl2Ga.

abc: 5.0692 5.0692 5.6210
angles: 90.00 90.00 90.00
Site moments in Bohr magnetons follow the coordinates.
Sites, in units of the cell vectors:
Tl: 0.0000 0.0000 0.0000  -0.07
Tl: 0.0000 0.0000 0.5000  -0.02
Mn: 0.0000 0.5000 0.0000  4.04
Mn: 0.5000 0.0000 0.0000  4.04
Ga: 0.5000 0.5000 0.5000  -0.07

Results
Calculated formation energy, kcal/mol of atoms: 28.38


## YMnGa3 (PBEsol)

Data for an optimized crystal structure of YMnGa3.

abc: 5.2736 5.2736 5.2736
angles: 90.00 90.00 90.00
Site moments in Bohr magnetons follow the coordinates.
Sites, in units of the cell vectors:
Ga: 0.0000 0.5000 0.0000  -0.07
Ga: 0.0000 0.0000 0.5000  -0.07
Ga: 0.5000 0.0000 0.0000  -0.07
Y: 0.0000 0.0000 0.0000  -0.31
Mn: 0.5000 0.5000 0.5000  4.42

Results
Calculated formation energy, kcal/mol of atoms: 26.82


## ZrMnGa (PBEsol)

Data for an optimized crystal structure of ZrMnGa.

abc: 5.0119 5.0119 8.3340
angles: 90.00 90.00 119.49
Site moments in Bohr magnetons follow the coordinates.
Sites, in units of the cell vectors:
Ga: 0.1662 0.3470 0.0000  -0.02
Ga: 0.0052 0.9948 0.7347  -0.01
Ga: 0.6530 0.8338 0.0000  -0.02
Ga: 0.0052 0.9948 0.2653  -0.01
Zr: 0.6650 0.3350 0.8080  -0.05
Zr: 0.3295 0.6705 0.6762  -0.03
Zr: 0.3295 0.6705 0.3238  -0.03
Zr: 0.6650 0.3350 0.1920  -0.05
Mn: 0.3742 0.1817 0.5000  -0.08
Mn: 0.8183 0.6258 0.5000  -0.08
Mn: 0.8269 0.1731 0.5000  0.06
Mn: 0.1636 0.8364 0.0000  1.99

Results
Calculated formation energy, kcal/mol of atoms: -8.81


## Zr3Mn2Ga6 (PBEsol)

Data for an optimized crystal structure of Zr3Mn2Ga6.

abc: 5.3319 7.6164 8.6369
angles: 90.00 90.00 90.00
Site moments in Bohr magnetons follow the coordinates.
Sites, in units of the cell vectors:
Ga: 0.0000 0.6306 0.0000  -0.06
Ga: 0.5000 0.3694 0.5000  -0.06
Ga: 0.7405 0.0436 0.5000  0.01
Ga: 0.5000 0.7622 0.1856  -0.03
Ga: 0.2595 0.0436 0.5000  0.01
Ga: 0.0000 0.5610 0.5000  -0.06
Ga: 0.0000 0.2378 0.3144  -0.03
Ga: 0.2405 0.9564 0.0000  0.01
Ga: 0.7595 0.9564 0.0000  0.01
Ga: 0.5000 0.4390 0.0000  -0.06
Ga: 0.5000 0.7622 0.8144  -0.03
Ga: 0.0000 0.2378 0.6856  -0.03
Zr: 0.0000 0.8461 0.2796  -0.12
Zr: 0.5000 0.7209 0.5000  -0.15
Zr: 0.5000 0.1539 0.7796  -0.12
Zr: 0.5000 0.1539 0.2204  -0.12
Zr: 0.0000 0.8461 0.7204  -0.12
Zr: 0.0000 0.2791 0.0000  -0.15
Mn: 0.7500 0.5000 0.7500  2.07
Mn: 0.2500 0.5000 0.7500  2.07
Mn: 0.2500 0.5000 0.2500  2.07
Mn: 0.7500 0.5000 0.2500  2.07

Results
Calculated formation energy, kcal/mol of atoms: -11.59